Record 1
CeScGa5Pd2 after structural relaxation. Source: Alexandria via LeMat-Bulk, functional PBE.

Lattice parameters (Å, degrees): 4.830 4.830 7.662 90.00 90.00 90.00
Site moments in Bohr magnetons follow the coordinates.
Sites, in units of the cell vectors:
Ce 0.000 0.000 0.500  0.71
Sc 0.000 0.000 0.000  0.03
Ga 0.000 0.500 0.230  0.01
Ga 0.500 0.000 0.230  0.01
Ga 0.000 0.500 0.770  0.01
Ga 0.500 0.000 0.770  0.01
Ga 0.500 0.500 0.500  0.01
Pd 0.500 0.500 0.172  0.01
Pd 0.500 0.500 0.828  0.01

=====

Record 2
Na3MgN after structural relaxation. Source: Alexandria via LeMat-Bulk, functional PBE.

Lattice parameters (Å, degrees): 5.589 5.589 5.589 90.00 90.00 90.00
Sites, in units of the cell vectors:
Na 0.000 0.500 0.000
Na 0.000 0.000 0.500
Na 0.500 0.000 0.000
Mg 0.000 0.000 0.000
N 0.500 0.500 0.500

=====

Record 3
Ag2BiPd2 after structural relaxation. Source: Alexandria via LeMat-Bulk, functional PBE.

Lattice parameters (Å, degrees): 7.813 7.813 3.158 90.00 90.00 90.00
Sites, in units of the cell vectors:
Pd 0.167 0.667 0.500
Pd 0.667 0.833 0.500
Pd 0.833 0.333 0.500
Pd 0.333 0.167 0.500
Bi 0.000 0.000 0.000
Bi 0.500 0.500 0.000
Ag 0.372 0.872 0.000
Ag 0.872 0.628 0.000
Ag 0.628 0.128 0.000
Ag 0.128 0.372 0.000

=====

Record 4
Nd5Ir2Pb2 after structural relaxation. Source: Alexandria via LeMat-Bulk, functional PBE.

Lattice parameters (Å, degrees): 7.423 8.701 9.193 118.25 90.00 90.00
Sites, in units of the cell vectors:
Nd 0.000 0.000 0.000
Nd 0.500 0.500 0.000
Nd 0.848 0.800 0.237
Nd 0.152 0.437 0.237
Nd 0.348 0.937 0.237
Nd 0.652 0.300 0.237
Nd 0.152 0.200 0.763
Nd 0.848 0.563 0.763
Nd 0.652 0.063 0.763
Nd 0.348 0.700 0.763
Ir 0.632 0.879 0.000
Ir 0.368 0.121 0.000
Ir 0.132 0.621 0.000
Ir 0.868 0.379 0.000
Pb 0.000 0.215 0.430
Pb 0.500 0.715 0.430
Pb 0.000 0.785 0.570
Pb 0.500 0.285 0.570

=====

Record 5
Mg5W after structural relaxation. Source: Alexandria via LeMat-Bulk, functional PBE.

Lattice parameters (Å, degrees): 8.334 8.334 4.971 90.00 90.00 159.53
Sites, in units of the cell vectors:
Mg 0.226 0.774 0.500
Mg 0.341 0.659 0.000
Mg 0.551 0.449 0.500
Mg 0.653 0.347 0.000
Mg 0.900 0.100 0.500
W 0.996 0.004 0.000

=====

Record 6
AcDy5Tm6 after structural relaxation. Source: Alexandria via LeMat-Bulk, functional PBE.

Lattice parameters (Å, degrees): 11.727 6.155 6.152 59.98 84.99 79.95
Sites, in units of the cell vectors:
Ac 0.000 0.000 0.000
Tm 0.746 0.085 0.336
Tm 0.254 0.578 0.336
Tm 0.255 0.251 0.000
Tm 0.745 0.749 0.000
Tm 0.746 0.422 0.664
Tm 0.254 0.915 0.664
Dy 0.500 0.167 0.666
Dy 0.000 0.333 0.333
Dy 0.500 0.500 0.000
Dy 0.000 0.667 0.667
Dy 0.500 0.833 0.334

=====

Record 7
AcPm3F after structural relaxation. Source: Alexandria via LeMat-Bulk, functional PBE.

Lattice parameters (Å, degrees): 5.275 5.275 5.275 90.00 90.00 90.00
Sites, in units of the cell vectors:
Ac 0.500 0.500 0.500
F 0.000 0.000 0.000
Pm 0.000 0.500 0.000
Pm 0.000 0.000 0.500
Pm 0.500 0.000 0.000

=====

Record 8
LiTlSi2Tc after structural relaxation. Source: Alexandria via LeMat-Bulk, functional PBE.

Lattice parameters (Å, degrees): 5.091 4.609 5.091 90.00 90.00 90.00
Site moments in Bohr magnetons follow the coordinates.
Sites, in units of the cell vectors:
Tl 0.000 0.000 0.000  0.00
Si 0.000 0.000 0.500  -0.06
Si 0.500 0.000 0.000  -0.10
Tc 0.500 0.500 0.500  3.20
Li 0.000 0.500 0.000  0.00

=====

Number 1: raw total energy -41.3 eV for the cell shown, magnetization 1.0 μB/cell. Number 2: raw total energy -6.7 eV for the cell shown, magnetization 0.0 μB/cell. Number 3: raw total energy -39.9 eV for the cell shown, magnetization 0.0 μB/cell. Number 4: raw total energy -108.1 eV for the cell shown, magnetization 0.0 μB/cell. Number 5: raw total energy -19.1 eV for the cell shown, magnetization 0.0 μB/cell. Number 6: raw total energy -53.5 eV for the cell shown, magnetization 0.0 μB/cell. Number 7: raw total energy -24.9 eV for the cell shown, magnetization 0.0 μB/cell. Number 8: raw total energy -17.6 eV for the cell shown, magnetization 3.2 μB/cell.